Here is crystalline BeIrAu2 at its relaxed geometry from Alexandria. Energies are from PBE.

Geometry as POSCAR:
```
BeIrAu2
1.0
3.944 0.000 0.000
0.000 2.964 -0.001
0.000 1.626 5.153
Au Be Ir
2 1 1
direct
0.000 0.114 0.020
0.000 0.386 0.480
0.500 0.250 0.250
0.500 0.750 0.750
```

Values from the calculation:
- volume (Å³ per cell) = 60
- SG = P2/m (10)
- DFT formation energy (eV per atom) = 0.2190
- VASP energy (eV/cell) = -18.3
- M_tot (μB per cell) = 0.000